# 1
# GGA-PBE NbHRu2, relaxed
data_NbHRu2
_chemical_formula_sum 'Nb4 H4 Ru8'
_cell_length_a 5.9927
_cell_length_b 5.9927
_cell_length_c 5.9927
_cell_angle_alpha 90.00
_cell_angle_beta 90.00
_cell_angle_gamma 90.00
_symmetry_space_group_name_H-M 'F m -3 m'
_symmetry_Int_Tables_number 225
_symmetry_space_group_name_Hall '-F 4 2 3'
loop_
_atom_site_label
_atom_site_type_symbol
_atom_site_fract_x
_atom_site_fract_y
_atom_site_fract_z
Nb1 Nb 0.0000 0.0000 0.0000
H1 H 0.0000 0.0000 0.5000
Ru1 Ru 0.2500 0.2500 0.2500
# - Fermi-level density of states: 18.47 states/eV/cell
# - Uncorrected energy: -7.4985 eV per atom
# - Total moment: 0.000 μB per atom
# - Theoretical density: 9.1 g/cm3

---

# 2
# GGA-PBE VTcBr, relaxed
data_VTcBr
_chemical_formula_sum 'V1 Tc1 Br1'
_cell_length_a 3.1740
_cell_length_b 3.1740
_cell_length_c 6.1973
_cell_angle_alpha 90.00
_cell_angle_beta 90.00
_cell_angle_gamma 120.00
_symmetry_space_group_name_H-M 'P 3 m 1'
_symmetry_Int_Tables_number 156
loop_
_symmetry_equiv_pos_as_xyz
'x,y,z'
'-y,x-y,z'
'-x+y,-x,z'
'-y,-x,z'
'-x+y,y,z'
'x,x-y,z'
loop_
_atom_site_label
_atom_site_type_symbol
_atom_site_fract_x
_atom_site_fract_y
_atom_site_fract_z
V1 V 0.0000 0.0000 0.0000
Tc1 Tc 0.3333 0.6667 0.2501
Br1 Br 0.3333 0.6667 0.6854
# - Fermi-level density of states: 0.96 states/eV/cell
# - Raw formation energy: 0.0776 eV per atom
# - Total moment: 0.000 μB per atom
# - Theoretical density: 7.0 g/cm3

---

# 3
# GGA-PBE NaInC, relaxed
data_NaInC
_chemical_formula_sum 'Na2 In2 C2'
_cell_length_a 4.6610
_cell_length_b 5.0273
_cell_length_c 6.9173
_cell_angle_alpha 85.86
_cell_angle_beta 70.50
_cell_angle_gamma 62.62
_symmetry_space_group_name_H-M 'P -1'
_symmetry_Int_Tables_number 2
loop_
_symmetry_equiv_pos_as_xyz
'x,y,z'
'-x,-y,-z'
loop_
_atom_site_label
_atom_site_type_symbol
_atom_site_fract_x
_atom_site_fract_y
_atom_site_fract_z
Na1 Na 0.0889 0.2150 0.1080
In1 In 0.1967 0.6706 0.4380
C1 C 0.4171 0.5757 0.0883
# - Fermi-level density of states: 1.11 states/eV/cell
# - Total moment: 0.000 μB per atom
# - DFT formation energy: 358 meV per atom
# - Theoretical density: 3.7 g/cm3

---

# 4
# GGA-PBE Re2MoCl, relaxed
data_Re2MoCl
_chemical_formula_sum 'Re8 Mo4 Cl4'
_cell_length_a 6.2959
_cell_length_b 6.2959
_cell_length_c 6.2959
_cell_angle_alpha 90.00
_cell_angle_beta 90.00
_cell_angle_gamma 90.00
_symmetry_space_group_name_H-M 'F m -3 m'
_symmetry_Int_Tables_number 225
_symmetry_space_group_name_Hall '-F 4 2 3'
loop_
_atom_site_label
_atom_site_type_symbol
_atom_site_fract_x
_atom_site_fract_y
_atom_site_fract_z
Re1 Re 0.2500 0.2500 0.2500
Mo1 Mo 0.0000 0.0000 0.0000
Cl1 Cl 0.0000 0.0000 0.5000
# - Fermi-level density of states: 25.98 states/eV/cell
# - Raw formation energy: 1.1742 eV per atom
# - Total moment: 0.000 μB per atom
# - Theoretical density: 13.4 g/cm3

---

# 5
# GGA-PBE CsKLi2Hg, relaxed
data_CsKLi2Hg
_chemical_formula_sum 'Cs1 K1 Li2 Hg1'
_cell_length_a 5.7244
_cell_length_b 5.7244
_cell_length_c 6.5373
_cell_angle_alpha 90.00
_cell_angle_beta 90.00
_cell_angle_gamma 90.00
_symmetry_space_group_name_H-M 'P 4/m m m'
_symmetry_Int_Tables_number 123
_symmetry_space_group_name_Hall '-P 4 2'
loop_
_atom_site_label
_atom_site_type_symbol
_atom_site_fract_x
_atom_site_fract_y
_atom_site_fract_z
Cs1 Cs 0.0000 0.0000 0.0000
K1 K 0.5000 0.5000 0.0000
Li1 Li 0.0000 0.5000 0.5000
Hg1 Hg 0.5000 0.5000 0.5000
# - Fermi-level density of states: 4.24 states/eV/cell
# - Total moment: 0.000 μB per atom
# - DFT formation energy: 18 meV per atom
# - Theoretical density: 3.0 g/cm3

---

# 6
# GGA-PBE TbPr6Zn2, relaxed
data_TbPr6Zn2
_chemical_formula_sum 'Tb2 Pr12 Zn4'
_cell_length_a 12.9153
_cell_length_b 3.7562
_cell_length_c 12.2124
_cell_angle_alpha 90.00
_cell_angle_beta 109.67
_cell_angle_gamma 90.00
_symmetry_space_group_name_H-M 'C 1 2/m 1'
_symmetry_Int_Tables_number 12
loop_
_symmetry_equiv_pos_as_xyz
'x,y,z'
'-x,-y,-z'
'-x,y,-z'
'x,-y,z'
'x+1/2,y+1/2,z'
'-x+1/2,-y+1/2,-z'
'-x+1/2,y+1/2,-z'
'x+1/2,-y+1/2,z'
loop_
_atom_site_label
_atom_site_type_symbol
_atom_site_fract_x
_atom_site_fract_y
_atom_site_fract_z
Tb1 Tb 0.0000 0.0000 0.0000
Pr1 Pr 0.0287 0.0000 0.3255
Pr2 Pr 0.1881 0.5000 0.5926
Pr3 Pr 0.1883 0.5000 0.8758
Zn1 Zn 0.1434 0.5000 0.1925
# - Fermi-level density of states: 18.84 states/eV/cell
# - Total moment: 0.000 μB per atom
# - DFT formation energy: -131 meV per atom
# - Theoretical density: 6.8 g/cm3

---

# 7
# GGA-PBE Al5Os, relaxed
data_Al5Os
_chemical_formula_sum 'Al10 Os2'
_cell_length_a 4.3472
_cell_length_b 3.0251
_cell_length_c 13.9931
_cell_angle_alpha 90.00
_cell_angle_beta 90.00
_cell_angle_gamma 90.00
_symmetry_space_group_name_H-M 'A m m 2'
_symmetry_Int_Tables_number 38
loop_
_symmetry_equiv_pos_as_xyz
'x,y,z'
'-x,-y,z'
'-x,y,z'
'x,-y,z'
'x,y+1/2,z+1/2'
'-x,-y+1/2,z+1/2'
'-x,y+1/2,z+1/2'
'x,-y+1/2,z+1/2'
loop_
_atom_site_label
_atom_site_type_symbol
_atom_site_fract_x
_atom_site_fract_y
_atom_site_fract_z
Al1 Al 0.0000 0.0000 0.0000
Al2 Al 0.0000 0.0000 0.3146
Al3 Al 0.5000 0.0000 0.1092
Al4 Al 0.5000 0.0000 0.4342
Al5 Al 0.5000 0.0000 0.7687
Os1 Os 0.0000 0.0000 0.6613
# - Fermi-level density of states: 3.03 states/eV/cell
# - Total moment: 0.000 μB per atom
# - DFT formation energy: -146 meV per atom
# - Theoretical density: 5.9 g/cm3

---

# 8
# GGA-PBE Eu2MgH4, relaxed
data_Eu2MgH4
_chemical_formula_sum 'Eu4 Mg2 H8'
_cell_length_a 3.8868
_cell_length_b 3.8868
_cell_length_c 12.8882
_cell_angle_alpha 90.00
_cell_angle_beta 90.00
_cell_angle_gamma 90.00
_symmetry_space_group_name_H-M 'I 4/m m m'
_symmetry_Int_Tables_number 139
_symmetry_space_group_name_Hall '-I 4 2'
loop_
_atom_site_label
_atom_site_type_symbol
_atom_site_fract_x
_atom_site_fract_y
_atom_site_fract_z
Eu1 Eu 0.0000 0.0000 0.1533
Mg1 Mg 0.0000 0.0000 0.5000
H1 H 0.0000 0.0000 0.3461
H2 H 0.0000 0.5000 0.0000
# - Fermi-level density of states: 1.94 states/eV/cell
# - Uncorrected energy: -5.3872 eV per atom
# - Total moment: 2.229 μB per atom
# - Theoretical density: 5.7 g/cm3